# BaZr2Ni (PBE, optimized geometry)
# - energy above the lowest structure with this stoichiometry (meV/atom) = 538.4
# - E_form (eV/atom) = 0.62
data_BaZr2Ni
_space_group_name_H-M_alt 'P 1'
_space_group_IT_number 1
_cell_length_a 4.970
_cell_length_b 4.970
_cell_length_c 4.970
_cell_angle_alpha 60.00
_cell_angle_beta 60.00
_cell_angle_gamma 60.00
loop_
_space_group_symop_operation_xyz
'x,y,z'
loop_
_atom_site_label
_atom_site_type_symbol
_atom_site_fract_x
_atom_site_fract_y
_atom_site_fract_z
Ba1 Ba 0.000 0.000 0.000
Zr1 Zr 0.250 0.250 0.250
Zr2 Zr 0.750 0.750 0.750
Ni1 Ni 0.500 0.500 0.500

# BaZr2Ni (PBE, optimized geometry)
# - energy above the lowest structure with this stoichiometry (meV/atom) = 196.7
# - E_form (eV/atom) = 0.28
data_BaZr2Ni
_space_group_name_H-M_alt 'P 1'
_space_group_IT_number 1
_cell_length_a 4.841
_cell_length_b 4.841
_cell_length_c 7.715
_cell_angle_alpha 109.12
_cell_angle_beta 109.12
_cell_angle_gamma 42.73
loop_
_space_group_symop_operation_xyz
'x,y,z'
loop_
_atom_site_label
_atom_site_type_symbol
_atom_site_fract_x
_atom_site_fract_y
_atom_site_fract_z
Ba1 Ba 0.000 0.000 0.000
Zr1 Zr 0.616 0.616 0.618
Zr2 Zr 0.846 0.846 0.372
Ni1 Ni 0.322 0.322 0.604

# BaZrNi4 (PBE, optimized geometry)
# - E_form (eV/atom) = 0.09
data_BaZrNi4
_space_group_name_H-M_alt 'P 1'
_space_group_IT_number 1
_cell_length_a 5.144
_cell_length_b 5.144
_cell_length_c 5.144
_cell_angle_alpha 60.00
_cell_angle_beta 60.00
_cell_angle_gamma 60.00
loop_
_space_group_symop_operation_xyz
'x,y,z'
loop_
_atom_site_label
_atom_site_type_symbol
_atom_site_fract_x
_atom_site_fract_y
_atom_site_fract_z
Ba1 Ba 0.000 0.000 0.000
Zr1 Zr 0.250 0.250 0.250
Ni1 Ni 0.130 0.623 0.623
Ni2 Ni 0.623 0.130 0.623
Ni3 Ni 0.623 0.623 0.130
Ni4 Ni 0.623 0.623 0.623

# Ba2ZrNi (PBE, optimized geometry)
# - energy above the lowest structure with this stoichiometry (meV/atom) = 611.4
# - E_form (eV/atom) = 0.78
data_Ba2ZrNi
_space_group_name_H-M_alt 'P 1'
_space_group_IT_number 1
_cell_length_a 5.448
_cell_length_b 5.448
_cell_length_c 5.448
_cell_angle_alpha 60.00
_cell_angle_beta 60.00
_cell_angle_gamma 60.00
loop_
_space_group_symop_operation_xyz
'x,y,z'
loop_
_atom_site_label
_atom_site_type_symbol
_atom_site_fract_x
_atom_site_fract_y
_atom_site_fract_z
Ba1 Ba 0.000 0.000 0.000
Ba2 Ba 0.250 0.250 0.250
Zr1 Zr 0.500 0.500 0.500
Ni1 Ni 0.750 0.750 0.750

# BaZr2Ni (PBE, optimized geometry)
# - energy above the lowest structure with this stoichiometry (meV/atom) = 525.3
# - E_form (eV/atom) = 0.61
data_BaZr2Ni
_space_group_name_H-M_alt 'P 1'
_space_group_IT_number 1
_cell_length_a 6.210
_cell_length_b 6.210
_cell_length_c 6.210
_cell_angle_alpha 140.19
_cell_angle_beta 140.19
_cell_angle_gamma 57.56
loop_
_space_group_symop_operation_xyz
'x,y,z'
loop_
_atom_site_label
_atom_site_type_symbol
_atom_site_fract_x
_atom_site_fract_y
_atom_site_fract_z
Ba1 Ba 0.000 0.000 0.000
Zr1 Zr 0.250 0.750 0.500
Zr2 Zr 0.750 0.250 0.500
Ni1 Ni 0.500 0.500 0.000

# BaZr3Ni (PBE, optimized geometry)
# - energy above the lowest structure with this stoichiometry (meV/atom) = 0.0
# - E_form (eV/atom) = 0.33
data_BaZr3Ni
_space_group_name_H-M_alt 'P 1'
_space_group_IT_number 1
_cell_length_a 5.085
_cell_length_b 5.085
_cell_length_c 5.085
_cell_angle_alpha 90.00
_cell_angle_beta 90.00
_cell_angle_gamma 90.00
loop_
_space_group_symop_operation_xyz
'x,y,z'
loop_
_atom_site_label
_atom_site_type_symbol
_atom_site_fract_x
_atom_site_fract_y
_atom_site_fract_z
Ba1 Ba 0.000 0.000 0.000
Zr1 Zr 0.000 0.500 0.500
Zr2 Zr 0.500 0.000 0.500
Zr3 Zr 0.500 0.500 0.000
Ni1 Ni 0.500 0.500 0.500

# Ba2ZrNi (PBE, optimized geometry)
# - energy above the lowest structure with this stoichiometry (meV/atom) = 63.4
# - E_form (eV/atom) = 0.23
data_Ba2ZrNi
_space_group_name_H-M_alt 'P 1'
_space_group_IT_number 1
_cell_length_a 9.979
_cell_length_b 9.979
_cell_length_c 4.010
_cell_angle_alpha 101.55
_cell_angle_beta 101.55
_cell_angle_gamma 20.47
loop_
_space_group_symop_operation_xyz
'x,y,z'
loop_
_atom_site_label
_atom_site_type_symbol
_atom_site_fract_x
_atom_site_fract_y
_atom_site_fract_z
Ba1 Ba 0.151 0.151 0.150
Ba2 Ba 0.849 0.849 0.850
Zr1 Zr 0.000 0.000 0.500
Ni1 Ni 0.500 0.500 0.000

# BaZr2Ni (PBE, optimized geometry)
# - energy above the lowest structure with this stoichiometry (meV/atom) = 654.1
# - E_form (eV/atom) = 0.74
data_BaZr2Ni
_space_group_name_H-M_alt 'P 1'
_space_group_IT_number 1
_cell_length_a 6.064
_cell_length_b 6.064
_cell_length_c 3.137
_cell_angle_alpha 90.00
_cell_angle_beta 90.00
_cell_angle_gamma 123.86
loop_
_space_group_symop_operation_xyz
'x,y,z'
loop_
_atom_site_label
_atom_site_type_symbol
_atom_site_fract_x
_atom_site_fract_y
_atom_site_fract_z
Ba1 Ba 0.000 0.000 0.000
Zr1 Zr 0.000 0.500 0.500
Zr2 Zr 0.500 0.000 0.500
Ni1 Ni 0.500 0.500 0.000

# BaZr2Ni (PBE, optimized geometry)
# - energy above the lowest structure with this stoichiometry (meV/atom) = 537.6
# - E_form (eV/atom) = 0.62
data_BaZr2Ni
_space_group_name_H-M_alt 'P 1'
_space_group_IT_number 1
_cell_length_a 6.541
_cell_length_b 6.541
_cell_length_c 3.229
_cell_angle_alpha 103.84
_cell_angle_beta 103.84
_cell_angle_gamma 124.72
loop_
_space_group_symop_operation_xyz
'x,y,z'
loop_
_atom_site_label
_atom_site_type_symbol
_atom_site_fract_x
_atom_site_fract_y
_atom_site_fract_z
Ba1 Ba 0.000 0.000 0.000
Zr1 Zr 0.000 0.500 0.500
Zr2 Zr 0.500 0.000 0.500
Ni1 Ni 0.500 0.500 0.000

# BaZr2Ni2 (PBE, optimized geometry)
# - energy above the lowest structure with this stoichiometry (meV/atom) = 0.0
# - E_form (eV/atom) = -0.01
data_BaZr2Ni2
_space_group_name_H-M_alt 'P 1'
_space_group_IT_number 1
_cell_length_a 6.499
_cell_length_b 6.499
_cell_length_c 6.499
_cell_angle_alpha 138.89
_cell_angle_beta 138.89
_cell_angle_gamma 59.54
loop_
_space_group_symop_operation_xyz
'x,y,z'
loop_
_atom_site_label
_atom_site_type_symbol
_atom_site_fract_x
_atom_site_fract_y
_atom_site_fract_z
Ba1 Ba 0.000 0.000 0.000
Zr1 Zr 0.250 0.750 0.500
Zr2 Zr 0.750 0.250 0.500
Ni1 Ni 0.368 0.368 0.000
Ni2 Ni 0.632 0.632 0.000

# BaZr2Ni (PBE, optimized geometry)
# - energy above the lowest structure with this stoichiometry (meV/atom) = 593.2
# - E_form (eV/atom) = 0.68
data_BaZr2Ni
_space_group_name_H-M_alt 'P 1'
_space_group_IT_number 1
_cell_length_a 5.149
_cell_length_b 5.149
_cell_length_c 5.149
_cell_angle_alpha 60.00
_cell_angle_beta 60.00
_cell_angle_gamma 60.00
loop_
_space_group_symop_operation_xyz
'x,y,z'
loop_
_atom_site_label
_atom_site_type_symbol
_atom_site_fract_x
_atom_site_fract_y
_atom_site_fract_z
Ba1 Ba 0.000 0.000 0.000
Zr1 Zr 0.250 0.250 0.250
Zr2 Zr 0.500 0.500 0.500
Ni1 Ni 0.750 0.750 0.750

# Ba2ZrNi (PBE, optimized geometry)
# - energy above the lowest structure with this stoichiometry (meV/atom) = 646.0
# - E_form (eV/atom) = 0.81
data_Ba2ZrNi
_space_group_name_H-M_alt 'P 1'
_space_group_IT_number 1
_cell_length_a 6.244
_cell_length_b 6.244
_cell_length_c 6.244
_cell_angle_alpha 135.43
_cell_angle_beta 135.43
_cell_angle_gamma 64.87
loop_
_space_group_symop_operation_xyz
'x,y,z'
loop_
_atom_site_label
_atom_site_type_symbol
_atom_site_fract_x
_atom_site_fract_y
_atom_site_fract_z
Ba1 Ba 0.250 0.750 0.500
Ba2 Ba 0.750 0.250 0.500
Zr1 Zr 0.000 0.000 0.000
Ni1 Ni 0.500 0.500 0.000

# BaZr2Ni (PBE, optimized geometry)
# - energy above the lowest structure with this stoichiometry (meV/atom) = 190.7
# - E_form (eV/atom) = 0.28
data_BaZr2Ni
_space_group_name_H-M_alt 'P 1'
_space_group_IT_number 1
_cell_length_a 6.442
_cell_length_b 6.442
_cell_length_c 6.442
_cell_angle_alpha 150.91
_cell_angle_beta 129.45
_cell_angle_gamma 59.38
loop_
_space_group_symop_operation_xyz
'x,y,z'
loop_
_atom_site_label
_atom_site_type_symbol
_atom_site_fract_x
_atom_site_fract_y
_atom_site_fract_z
Ba1 Ba 0.000 0.000 0.000
Zr1 Zr 0.304 0.804 0.500
Zr2 Zr 0.696 0.196 0.500
Ni1 Ni 0.500 0.500 0.000

# BaZr2Ni (PBE, optimized geometry)
# - energy above the lowest structure with this stoichiometry (meV/atom) = 135.1
# - E_form (eV/atom) = 0.22
data_BaZr2Ni
_space_group_name_H-M_alt 'P 1'
_space_group_IT_number 1
_cell_length_a 3.363
_cell_length_b 3.363
_cell_length_c 8.889
_cell_angle_alpha 90.00
_cell_angle_beta 90.00
_cell_angle_gamma 90.00
loop_
_space_group_symop_operation_xyz
'x,y,z'
loop_
_atom_site_label
_atom_site_type_symbol
_atom_site_fract_x
_atom_site_fract_y
_atom_site_fract_z
Ba1 Ba 0.000 0.000 0.000
Zr1 Zr 0.500 0.500 0.338
Zr2 Zr 0.500 0.500 0.662
Ni1 Ni 0.000 0.000 0.500

# BaZr2Ni (PBE, optimized geometry)
# - energy above the lowest structure with this stoichiometry (meV/atom) = 668.2
# - E_form (eV/atom) = 0.75
data_BaZr2Ni
_space_group_name_H-M_alt 'P 1'
_space_group_IT_number 1
_cell_length_a 9.421
_cell_length_b 9.421
_cell_length_c 9.421
_cell_angle_alpha 145.55
_cell_angle_beta 145.55
_cell_angle_gamma 49.51
loop_
_space_group_symop_operation_xyz
'x,y,z'
loop_
_atom_site_label
_atom_site_type_symbol
_atom_site_fract_x
_atom_site_fract_y
_atom_site_fract_z
Ba1 Ba 0.375 0.625 0.750
Ba2 Ba 0.625 0.375 0.250
Zr1 Zr 0.000 0.000 0.000
Zr2 Zr 0.000 0.000 0.500
Zr3 Zr 0.000 0.500 0.000
Zr4 Zr 0.500 0.000 0.500
Ni1 Ni 0.125 0.875 0.250
Ni2 Ni 0.875 0.125 0.750

# Ba2ZrNi (PBE, optimized geometry)
# - energy above the lowest structure with this stoichiometry (meV/atom) = 5.5
# - E_form (eV/atom) = 0.17
data_Ba2ZrNi
_space_group_name_H-M_alt 'P 1'
_space_group_IT_number 1
_cell_length_a 3.588
_cell_length_b 3.588
_cell_length_c 10.118
_cell_angle_alpha 90.00
_cell_angle_beta 90.00
_cell_angle_gamma 90.00
loop_
_space_group_symop_operation_xyz
'x,y,z'
loop_
_atom_site_label
_atom_site_type_symbol
_atom_site_fract_x
_atom_site_fract_y
_atom_site_fract_z
Ba1 Ba 0.000 0.000 0.000
Ba2 Ba 0.500 0.500 0.383
Zr1 Zr 0.500 0.500 0.710
Ni1 Ni 0.000 0.000 0.621

# BaZr2Ni (PBE, optimized geometry)
# - energy above the lowest structure with this stoichiometry (meV/atom) = 652.5
# - E_form (eV/atom) = 0.74
data_BaZr2Ni
_space_group_name_H-M_alt 'P 1'
_space_group_IT_number 1
_cell_length_a 5.136
_cell_length_b 5.136
_cell_length_c 3.384
_cell_angle_alpha 90.00
_cell_angle_beta 90.00
_cell_angle_gamma 90.00
loop_
_space_group_symop_operation_xyz
'x,y,z'
loop_
_atom_site_label
_atom_site_type_symbol
_atom_site_fract_x
_atom_site_fract_y
_atom_site_fract_z
Ba1 Ba 0.000 0.000 0.000
Zr1 Zr 0.000 0.500 0.500
Zr2 Zr 0.500 0.000 0.500
Ni1 Ni 0.500 0.500 0.000

# Ba4ZrNi (PBE, optimized geometry)
# - E_form (eV/atom) = 1.12
data_Ba4ZrNi
_space_group_name_H-M_alt 'P 1'
_space_group_IT_number 1
_cell_length_a 7.102
_cell_length_b 7.102
_cell_length_c 7.102
_cell_angle_alpha 60.00
_cell_angle_beta 60.00
_cell_angle_gamma 60.00
loop_
_space_group_symop_operation_xyz
'x,y,z'
loop_
_atom_site_label
_atom_site_type_symbol
_atom_site_fract_x
_atom_site_fract_y
_atom_site_fract_z
Ba1 Ba 0.125 0.125 0.125
Ba2 Ba 0.125 0.125 0.625
Ba3 Ba 0.125 0.625 0.125
Ba4 Ba 0.625 0.125 0.125
Zr1 Zr 0.500 0.500 0.500
Ni1 Ni 0.750 0.750 0.750

# Ba2ZrNi (PBE, optimized geometry)
# - energy above the lowest structure with this stoichiometry (meV/atom) = 684.8
# - E_form (eV/atom) = 0.85
data_Ba2ZrNi
_space_group_name_H-M_alt 'P 1'
_space_group_IT_number 1
_cell_length_a 5.702
_cell_length_b 5.702
_cell_length_c 5.702
_cell_angle_alpha 60.00
_cell_angle_beta 60.00
_cell_angle_gamma 60.00
loop_
_space_group_symop_operation_xyz
'x,y,z'
loop_
_atom_site_label
_atom_site_type_symbol
_atom_site_fract_x
_atom_site_fract_y
_atom_site_fract_z
Ba1 Ba 0.250 0.250 0.250
Ba2 Ba 0.750 0.750 0.750
Zr1 Zr 0.000 0.000 0.000
Ni1 Ni 0.500 0.500 0.500

# BaZr2Ni (PBE, optimized geometry)
# - energy above the lowest structure with this stoichiometry (meV/atom) = 187.4
# - E_form (eV/atom) = 0.27
data_BaZr2Ni
_space_group_name_H-M_alt 'P 1'
_space_group_IT_number 1
_cell_length_a 9.397
_cell_length_b 9.397
_cell_length_c 9.397
_cell_angle_alpha 22.71
_cell_angle_beta 22.71
_cell_angle_gamma 22.71
loop_
_space_group_symop_operation_xyz
'x,y,z'
loop_
_atom_site_label
_atom_site_type_symbol
_atom_site_fract_x
_atom_site_fract_y
_atom_site_fract_z
Ba1 Ba 0.000 0.000 0.000
Zr1 Zr 0.219 0.219 0.219
Zr2 Zr 0.781 0.781 0.781
Ni1 Ni 0.500 0.500 0.500